P | Entry from the Alexandria database: a geometry-optimized KO2F2 structure (PBE-GGA).

Structure (POSCAR):
```
KO2F2
1.0
4.512 0.000 0.000
0.000 4.512 0.000
0.000 0.000 3.220
K O F
1 2 2
Cartesian
2.256 2.256 1.610
0.000 0.000 0.000
0.000 0.000 1.610
0.000 2.256 0.000
2.256 0.000 0.000
```



Q | Entry from the Alexandria database: a geometry-optimized KO2F2 structure (PBE-GGA).

Structure (POSCAR):
```
KO2F2
1.0
-1.852 -3.248 -1.694
1.741 -3.636 0.095
-1.290 -4.976 5.977
K O F
1 2 2
Cartesian
0.000 0.000 0.000
-1.206 -5.612 2.132
-0.194 -6.248 2.247
-0.643 -2.543 0.605
-0.758 -9.317 3.773
```



R | Entry from the Alexandria database: a geometry-optimized KO2F2 structure (PBE-GGA).

Structure (POSCAR):
```
KO2F2
1.0
-2.410 1.279 -1.219
0.616 -1.324 -2.607
-4.775 -5.536 -0.030
K O F
1 2 2
Cartesian
0.000 0.000 0.000
-4.041 -2.140 -1.581
-2.528 -3.441 -2.275
-1.744 -1.227 -1.502
-4.825 -4.354 -2.354
```



The most stable of them is Q.



P | Entry from the Alexandria database: a geometry-optimized KO2F2 structure (PBE-GGA).

Structure (POSCAR):
```
KO2F2
1.0
5.000 0.000 0.000
0.000 5.000 0.000
0.000 0.000 5.432
K O F
1 2 2
Cartesian
0.000 0.000 0.000
2.500 2.500 2.716
0.000 0.000 2.716
0.000 2.500 0.000
2.500 0.000 0.000
```



Q | Entry from the Alexandria database: a geometry-optimized KO2F2 structure (PBE-GGA).

Structure (POSCAR):
```
KO2F2
1.0
3.821 0.000 0.000
0.000 3.821 0.000
0.000 0.000 5.654
K O F
1 2 2
Cartesian
1.911 1.911 2.827
0.000 1.911 0.000
1.911 0.000 0.000
0.000 0.000 0.000
0.000 0.000 2.827
```



The most stable of them is Q.



P | Entry from the Alexandria database: a geometry-optimized KP2OF structure (PBE-GGA).

Structure (POSCAR):
```
KP2OF
1.0
-1.999 -5.948 -2.604
4.198 0.895 -5.265
3.502 -2.233 2.413
P K O F
2 1 1 1
Cartesian
2.099 0.447 -2.633
-0.999 -2.974 -1.302
0.000 0.000 0.000
1.751 -1.117 1.206
2.851 -3.643 -2.729
```



Q | Entry from the Alexandria database: a geometry-optimized KP2OF structure (PBE-GGA).

Structure (POSCAR):
```
KP2OF
1.0
4.144 0.000 0.000
0.000 4.144 0.000
0.000 0.000 5.813
P K O F
2 1 1 1
Cartesian
0.000 2.072 0.000
2.072 0.000 0.000
2.072 2.072 2.906
0.000 0.000 2.906
0.000 0.000 0.000
```



The most stable of them is Q.